No. 1
# PBE TbHoMg17, optimized geometry
# Total moment: 0.000 μB per cell
# Calculated total energy: -1.92 eV/atom
# ρ: 2.7 g cm⁻³
# Crystal system: trigonal
# DOS(E_F): 8.38 states/eV/f.u.
# E_form: -0.01 eV/atom
data_TbHoMg17
_space_group_name_H-M_alt 'R 3 m'
_space_group_IT_number 160
_space_group_name_Hall 'R 3 -2"'
_cell_length_a 10.2097
_cell_length_b 10.2097
_cell_length_c 15.2241
_cell_angle_alpha 90.00
_cell_angle_beta 90.00
_cell_angle_gamma 120.00
loop_
_atom_site_label
_atom_site_fract_x
_atom_site_fract_y
_atom_site_fract_z
_atom_site_occupancy
Tb1 0.0000 0.0000 0.0000 1
Ho1 0.0000 0.0000 0.3435 1
Mg1 0.0000 0.0000 0.5720 1
Mg2 0.0000 0.0000 0.7707 1
Mg3 0.9995 0.3040 0.6715 1
Mg4 0.0083 0.5041 0.8224 1
Mg5 0.1671 0.3342 0.5051 1
Mg6 0.1715 0.3430 0.8538 1



No. 2
# PBE Tb2HoMg2, optimized geometry
# Total moment: 0.000 μB per cell
# Relative energy among the computed polymorphs: 5.0 kJ per mole of atoms
# Calculated total energy: -3.42 eV/atom
# ρ: 6.2 g cm⁻³
# Crystal system: orthorhombic
# DOS(E_F): 5.46 states/eV/f.u.
# E_form: -0.01 eV/atom
data_Tb2HoMg2
_space_group_name_H-M_alt 'C m c m'
_space_group_IT_number 63
_space_group_name_Hall '-C 2c 2'
_cell_length_a 4.953
_cell_length_b 23.155
_cell_length_c 4.936
_cell_angle_alpha 90.00
_cell_angle_beta 90.00
_cell_angle_gamma 90.00
loop_
_atom_site_label
_atom_site_fract_x
_atom_site_fract_y
_atom_site_fract_z
_atom_site_occupancy
Tb1 0.000 0.052 0.250 1
Tb2 0.000 0.444 0.250 1
Ho1 0.000 0.162 0.750 1
Mg1 0.000 0.250 0.250 1
Mg2 0.000 0.336 0.750 1